Entry from Alexandria: Ba2CaCr after structural relaxation (PBE). Values from VASP.

The structure in Quantum ESPRESSO input format:
```
&SYSTEM
  ibrav = 0, nat = 4, ntyp = 3
/
ATOMIC_SPECIES
Ba 137.33 Ba.upf
Cr 52.00 Cr.upf
Ca 40.08 Ca.upf
CELL_PARAMETERS angstrom
9.805 0.059 0.126
-3.754 4.726 0.028
2.297 1.806 3.823
ATOMIC_POSITIONS angstrom
Ba 0.000 0.000 0.000
Cr 3.026 2.393 0.077
Ca -0.728 3.266 1.926
Ba 6.051 0.933 1.974
```

Results
The polymorph energy (0 for the lowest one) is 88 meV/atom. The value obtained for the formation enthalpy at 0 K is 0.496 eV/atom. The calculation puts the final energy at -3.3720 eV/atom. Its space-group type is No. 65.



Entry from Alexandria: Tl2CrSe2 after structural relaxation (PBE). Values from VASP.

The structure in Quantum ESPRESSO input format:
```
&SYSTEM
  ibrav = 0, nat = 10, ntyp = 3
/
ATOMIC_SPECIES
Se 78.96 Se.upf
Cr 52.00 Cr.upf
Tl 204.38 Tl.upf
CELL_PARAMETERS angstrom
6.299 0.000 0.000
0.000 6.299 0.000
0.000 0.000 6.117
ATOMIC_POSITIONS angstrom
Se 5.298 4.151 0.000
Cr 0.000 0.000 0.000
Tl 1.915 1.234 3.058
Cr 3.150 3.150 0.000
Se 2.148 5.298 0.000
Se 1.001 2.148 0.000
Tl 1.234 4.384 3.058
Tl 5.065 1.915 3.058
Tl 4.384 5.065 3.058
Se 4.151 1.001 0.000
```

Results
The calculation puts the final energy at -4.2302 eV/atom. Its space-group type is No. 127. The calculation puts the uncorrected formation energy at 0.03 eV/atom.